No. 1
DFT (PBE) results for a relaxed structure of Cr2Pd2Pt.

Lattice parameters (Å, degrees): 7.1970 7.1970 2.8046 90.00 90.00 90.00
Fractional positions:
Cr 0.4060 0.9060 0.0000
Cr 0.9060 0.5940 0.0000
Cr 0.5940 0.0940 0.0000
Cr 0.0940 0.4060 0.0000
Pd 0.1965 0.6965 0.5000
Pd 0.6965 0.8035 0.5000
Pd 0.8035 0.3035 0.5000
Pd 0.3035 0.1965 0.5000
Pt 0.0000 0.0000 0.0000
Pt 0.5000 0.5000 0.0000

Output
space-group type	P4/mbm (127)
formation enthalpy at 0 K	1.05	eV per formula unit



No. 2
DFT (PBE) results for a relaxed structure of RbSr3Sn.

Lattice parameters (Å, degrees): 6.3375 6.3375 6.3375 90.00 90.00 90.00
Last column: magnetic moment on the atom in μB.
Fractional positions:
Sr 0.0000 0.5000 0.0000  0.12
Sr 0.0000 0.0000 0.5000  0.17
Sr 0.5000 0.0000 0.0000  0.07
Sn 0.5000 0.5000 0.5000  -0.10
Rb 0.0000 0.0000 0.0000  0.13

Output
space-group type	Pm-3m (221)
excess energy over the best structure of this formula in the dataset	5.25	eV per formula unit
formation enthalpy at 0 K	4.35	eV per formula unit



No. 3
DFT (PBE) results for a relaxed structure of Ba3YIr2O9.

Lattice parameters (Å, degrees): 5.8945 5.8945 7.2375 90.00 90.00 120.00
Last column: magnetic moment on the atom in μB.
Fractional positions:
Ba 0.3333 0.6667 0.6733  0.01
Ba 0.0000 0.0000 0.0000  0.01
Ba 0.6667 0.3333 0.3267  0.01
Y 0.0000 0.0000 0.5000  -0.01
Ir 0.3333 0.6667 0.1585  0.90
Ir 0.6667 0.3333 0.8415  0.90
O 0.8236 0.1764 0.6807  0.07
O 0.8236 0.6472 0.6807  0.07
O 0.3528 0.1764 0.6807  0.07
O 0.6472 0.8236 0.3193  0.07
O 0.1764 0.3528 0.3193  0.07
O 0.1764 0.8236 0.3193  0.07
O 0.5000 0.0000 0.0000  0.19
O 0.0000 0.5000 0.0000  0.19
O 0.5000 0.5000 0.0000  0.19

Output
space-group type	P-3m1 (164)
excess energy over the best structure of this formula in the dataset	0.55	eV per formula unit
energy relative to the elements, uncorrected	-2.07	eV/atom



- Which formula does entry 3 have?
  Ba3YIr2O9